(1)
Computed, not measured: an optimized crystal structure of Ca2CoCl at the PBE level of DFT.

Computed properties:
- formation energy without anion corrections (eV/atom) = -0.5120
- symmetry = Imm2 (44)
- DOS(E_F) (states/eV per cell) = 2.40
- size of the total moment (μB/cell) = 0.23

abc: 7.995 7.995 7.995
angles: 153.75 154.95 36.60
Last column: magnetic moment on the atom in μB.
Sites, in units of the cell vectors:
Ca (0.065, 0.065, 0.000)  -0.04
Ca (0.786, 0.286, 0.500)  -0.05
Cl (0.453, 0.453, 0.000)  -0.01
Co (0.197, 0.697, 0.500)  0.52

(2)
Computed, not measured: an optimized crystal structure of Ca2CoCl at the PBE level of DFT.

Computed properties:
- formation energy without anion corrections (eV/atom) = -0.2433
- symmetry = I-4m2 (119)
- DOS(E_F) (states/eV per cell) = 6.20
- size of the total moment (μB/cell) = 0.82

abc: 6.963 6.963 6.963
angles: 146.64 146.64 47.89
Last column: magnetic moment on the atom in μB.
Sites, in units of the cell vectors:
Ca (0.250, 0.750, 0.500)  -0.08
Ca (0.000, 0.000, 0.000)  -0.05
Cl (0.500, 0.500, 0.000)  0.00
Co (0.750, 0.250, 0.500)  1.26

(3)
Computed, not measured: an optimized crystal structure of CaCoCl6 at the PBE level of DFT.

Computed properties:
- formation energy without anion corrections (eV/atom) = -1.0458
- symmetry = R-3 (148)
- DOS(E_F) (states/eV per cell) = 6.69
- size of the total moment (μB/cell) = 1.07

abc: 6.236 6.236 6.690
angles: 62.22 62.22 60.00
Last column: magnetic moment on the atom in μB.
Sites, in units of the cell vectors:
Co (0.000, 0.000, 0.000)  0.66
Cl (0.614, 0.204, 0.227)  0.05
Cl (0.955, 0.614, 0.227)  0.05
Cl (0.386, 0.796, 0.773)  0.05
Cl (0.204, 0.955, 0.227)  0.05
Cl (0.045, 0.386, 0.773)  0.05
Cl (0.796, 0.045, 0.773)  0.05
Ca (0.500, 0.500, 0.500)  0.00

(4)
Computed, not measured: an optimized crystal structure of CaCo3Cl at the PBE level of DFT.

Computed properties:
- formation energy without anion corrections (eV/atom) = 0.5159
- symmetry = Pm-3m (221)
- DOS(E_F) (states/eV per cell) = 8.78
- size of the total moment (μB/cell) = 2.03

abc: 4.241 4.241 4.241
angles: 90.00 90.00 90.00
Last column: magnetic moment on the atom in μB.
Sites, in units of the cell vectors:
Co (0.000, 0.500, 0.000)  0.92
Co (0.500, 0.000, 0.000)  0.83
Co (0.000, 0.000, 0.500)  0.62
Ca (0.500, 0.500, 0.500)  -0.07
Cl (0.000, 0.000, 0.000)  0.03

(5)
Computed, not measured: an optimized crystal structure of Ca2CoCl at the PBE level of DFT.

Computed properties:
- formation energy without anion corrections (eV/atom) = -0.2939
- symmetry = I-42d (122)
- DOS(E_F) (states/eV per cell) = 11.73
- size of the total moment (μB/cell) = 0.75

abc: 7.256 7.256 6.540
angles: 56.31 56.31 90.00
Last column: magnetic moment on the atom in μB.
Sites, in units of the cell vectors:
Cl (0.250, 0.750, 0.500)  -0.01
Cl (0.500, 0.500, 0.000)  -0.01
Ca (0.116, 0.625, 0.250)  -0.06
Ca (0.375, 0.366, 0.750)  -0.06
Ca (0.634, 0.125, 0.250)  -0.06
Ca (0.875, 0.884, 0.750)  -0.06
Co (0.000, 0.000, 0.000)  0.84
Co (0.750, 0.250, 0.500)  0.83

(6)
Computed, not measured: an optimized crystal structure of CaCo4Cl at the PBE level of DFT.

Computed properties:
- formation energy without anion corrections (eV/atom) = 0.3074
- symmetry = F-43m (216)
- DOS(E_F) (states/eV per cell) = 6.42
- size of the total moment (μB/cell) = 6.90

abc: 5.043 5.043 5.043
angles: 60.00 60.00 60.00
Last column: magnetic moment on the atom in μB.
Sites, in units of the cell vectors:
Cl (0.000, 0.000, 0.000)  0.13
Co (0.874, 0.375, 0.375)  1.78
Co (0.375, 0.375, 0.375)  1.78
Co (0.375, 0.874, 0.375)  1.78
Co (0.375, 0.375, 0.874)  1.78
Ca (0.750, 0.750, 0.750)  -0.11

(7)
Computed, not measured: an optimized crystal structure of Ca2CoCl at the PBE level of DFT.

Computed properties:
- formation energy without anion corrections (eV/atom) = -0.5799
- symmetry = R-3m (166)
- DOS(E_F) (states/eV per cell) = 2.31
- size of the total moment (μB/cell) = 0.55

abc: 8.018 8.018 8.018
angles: 27.36 27.36 27.36
Last column: magnetic moment on the atom in μB.
Sites, in units of the cell vectors:
Cl (0.250, 0.250, 0.250)  -0.01
Ca (0.492, 0.492, 0.492)  -0.07
Ca (0.008, 0.008, 0.008)  -0.07
Co (0.750, 0.750, 0.750)  1.05

(8)
Computed, not measured: an optimized crystal structure of CaCoCl5 at the PBE level of DFT.

Computed properties:
- formation energy without anion corrections (eV/atom) = -1.2534
- symmetry = C2/c (15)
- DOS(E_F) (states/eV per cell) = 12.43
- size of the total moment (μB/cell) = 8.00

abc: 7.164 7.164 10.085
angles: 68.87 68.87 86.56
Last column: magnetic moment on the atom in μB.
Sites, in units of the cell vectors:
Co (0.600, 0.400, 0.750)  2.67
Co (0.400, 0.600, 0.250)  2.67
Cl (0.256, 0.696, 0.443)  0.21
Cl (0.082, 0.918, 0.750)  0.04
Cl (0.345, 0.274, 0.329)  0.23
Cl (0.726, 0.655, 0.171)  0.23
Cl (0.655, 0.726, 0.671)  0.23
Cl (0.696, 0.256, 0.943)  0.21
Cl (0.304, 0.744, 0.057)  0.21
Cl (0.274, 0.345, 0.829)  0.23
Cl (0.918, 0.082, 0.250)  0.04
Cl (0.744, 0.304, 0.557)  0.21
Ca (0.000, 0.000, 0.500)  0.01
Ca (0.000, 0.000, 0.000)  0.01

(9)
Computed, not measured: an optimized crystal structure of CsCaCo2Cl8 at the PBE level of DFT.

Computed properties:
- formation energy without anion corrections (eV/atom) = -1.2704
- symmetry = R-3 (148)
- DOS(E_F) (states/eV per cell) = 14.46
- size of the total moment (μB/cell) = 7.00

abc: 6.580 6.580 10.504
angles: 71.75 71.75 60.00
Last column: magnetic moment on the atom in μB.
Sites, in units of the cell vectors:
Cl (0.720, 0.046, 0.832)  0.13
Cl (0.402, 0.720, 0.832)  0.13
Cl (0.954, 0.598, 0.168)  0.13
Cl (0.180, 0.180, 0.461)  0.20
Cl (0.820, 0.820, 0.539)  0.20
Cl (0.280, 0.954, 0.168)  0.13
Cl (0.598, 0.280, 0.168)  0.13
Cl (0.046, 0.402, 0.832)  0.13
Co (0.254, 0.254, 0.238)  2.58
Co (0.746, 0.746, 0.762)  2.58
Ca (0.000, 0.000, 0.000)  0.01
Cs (0.500, 0.500, 0.500)  0.00

(10)
Computed, not measured: an optimized crystal structure of CsCaCoCl6 at the PBE level of DFT.

Computed properties:
- formation energy without anion corrections (eV/atom) = -1.4801
- symmetry = P312 (149)
- size of the total moment (μB/cell) = 0.16

abc: 6.669 6.669 7.653
angles: 90.01 90.00 60.00
Last column: magnetic moment on the atom in μB.
Sites, in units of the cell vectors:
Cl (0.343, 0.605, 0.324)  0.00
Cl (0.052, 0.605, 0.676)  0.00
Cl (0.343, 0.052, 0.676)  0.00
Cl (0.605, 0.052, 0.324)  0.00
Cl (0.605, 0.343, 0.676)  0.00
Cl (0.052, 0.343, 0.324)  0.00
Cs (0.000, 0.000, 0.000)  0.00
Co (0.333, 0.333, 0.500)  -0.16
Ca (0.667, 0.667, 0.500)  0.00

(11)
Computed, not measured: an optimized crystal structure of CsCa2CoCl8 at the PBE level of DFT.

Computed properties:
- formation energy without anion corrections (eV/atom) = -1.7194
- symmetry = P-1 (2)
- size of the total moment (μB/cell) = 0.15

abc: 6.458 7.270 9.260
angles: 54.31 89.61 90.51
Last column: magnetic moment on the atom in μB.
Sites, in units of the cell vectors:
Ca (0.468, 0.748, 0.239)  0.00
Ca (0.532, 0.252, 0.761)  0.00
Cl (0.964, 0.305, 0.715)  0.00
Cl (0.748, 0.815, 0.961)  0.00
Cl (0.252, 0.185, 0.039)  0.00
Cl (0.504, 0.294, 0.450)  0.00
Cl (0.751, 0.137, 0.085)  0.00
Cl (0.496, 0.706, 0.550)  0.00
Cl (0.249, 0.863, 0.915)  0.00
Cl (0.036, 0.695, 0.285)  0.00
Cs (0.000, 0.000, 0.500)  0.00
Co (0.000, 0.000, 0.000)  -0.15

Question: Look up the size of the total moment of the fifth one.
Answer: 0.75 μB/cell

Question: Which value of size of the total moment does entry 7 give?
Answer: 0.55 μB/cell

Question: The highest size of the total moment belongs to which entry?
Answer: CaCoCl5

Question: size of the total moment of number 3 (CaCoCl6)?
Answer: 1.07 μB/cell